Here is an optimized crystal structure of Pr2TmFe from Alexandria via LeMat-Bulk. Energies are from PBE-GGA.

calculated volume = 115.7 Å³/f.u.
energy of formation from the pure elements = 0.629 eV per atom

Structure (POSCAR):
```
Pr2TmFe
1.0
1.741 1.005 11.013
-1.741 1.005 11.013
0.000 -2.010 11.013
Pr Tm Fe
2 1 1
Direct
0.077 0.077 0.077
0.923 0.923 0.923
0.500 0.500 0.500
0.000 0.000 0.000
```

Here is an optimized crystal structure of NbSe2S from Alexandria via LeMat-Bulk. Energies are from PBE-GGA.

calculated volume = 87.0 Å³/f.u.
ΔE_f (raw) = -0.2350 eV per atom

Structure (POSCAR):
```
NbSe2S
1.0
1.749 1.010 8.207
-1.749 1.010 8.207
0.000 -2.020 8.207
Nb Se S
1 2 1
Direct
0.000 0.000 0.000
0.402 0.402 0.402
0.598 0.598 0.598
0.500 0.500 0.500
```

Here is an optimized crystal structure of Hf2TiNiBi from Alexandria via LeMat-Bulk. Energies are from PBE-GGA.

calculated volume = 113.2 Å³/f.u.
energy of formation from the pure elements = 0.492 eV per atom

Structure (POSCAR):
```
Hf2TiNiBi
1.0
4.820 0.000 0.000
0.000 4.820 0.000
0.000 0.000 4.874
Hf Ti Ni Bi
2 1 1 1
Direct
0.000 0.500 0.000
0.500 0.000 0.000
0.000 0.000 0.500
0.500 0.500 0.000
0.500 0.500 0.500
```

Here is an optimized crystal structure of NdAlZnAg from Alexandria via LeMat-Bulk. Energies are from PBE-GGA.

calculated volume = 82.0 Å³/f.u.
energy of formation from the pure elements = -0.305 eV per atom

Structure (POSCAR):
```
NdAlZnAg
1.0
0.000 3.449 3.449
3.449 0.000 3.449
3.449 3.449 0.000
Nd Al Zn Ag
1 1 1 1
Direct
0.000 0.000 0.000
0.500 0.500 0.500
0.750 0.750 0.750
0.250 0.250 0.250
```

Here is an optimized crystal structure of LiAs3N from Alexandria via LeMat-Bulk. Energies are from PBE-GGA.

calculated volume = 85.8 Å³/f.u.
ΔE_f (raw) = 1.5148 eV per atom

Structure (POSCAR):
```
LiAs3N
1.0
4.411 0.000 0.000
0.000 4.411 0.000
0.000 0.000 4.411
Li As N
1 3 1
Direct
0.000 0.000 0.000
0.000 0.000 0.500
0.000 0.500 0.000
0.500 0.000 0.000
0.500 0.500 0.500
```

Here is an optimized crystal structure of NdGdBeAg from Alexandria via LeMat-Bulk. Energies are from PBE-GGA.

calculated volume = 95.4 Å³/f.u.
energy of formation from the pure elements = -0.009 eV per atom

Structure (POSCAR):
```
NdGdBeAg
1.0
0.000 3.627 3.627
3.627 0.000 3.627
3.627 3.627 0.000
Nd Gd Be Ag
1 1 1 1
Direct
0.000 0.000 0.000
0.500 0.500 0.500
0.750 0.750 0.750
0.250 0.250 0.250
```

Here is an optimized crystal structure of CrCdIr2 from Alexandria via LeMat-Bulk. Energies are from PBE-GGA.

calculated volume = 61.2 Å³/f.u.
energy of formation from the pure elements = 0.156 eV per atom

Structure (POSCAR):
```
CrCdIr2
1.0
-2.002 2.002 3.820
2.002 -2.002 3.820
2.002 2.002 -3.820
Cr Cd Ir
1 1 2
Direct
0.000 0.000 0.000
0.500 0.500 0.000
0.250 0.750 0.500
0.750 0.250 0.500
```

Here is an optimized crystal structure of NiAgC2 from Alexandria via LeMat-Bulk. Energies are from PBE-GGA.

calculated volume = 49.6 Å³/f.u.
energy of formation from the pure elements = 1.529 eV per atom

Structure (POSCAR):
```
NiAgC2
1.0
-2.475 2.475 4.046
2.475 -2.475 4.046
2.475 2.475 -4.046
Ni Ag C
2 2 4
Direct
0.000 0.000 0.000
0.750 0.250 0.500
0.250 0.750 0.500
0.500 0.500 0.000
0.061 0.625 0.936
0.375 0.311 0.436
0.689 0.125 0.064
0.875 0.939 0.564
```

Here is an optimized crystal structure of Cs2Cd2Pb3 from Alexandria via LeMat-Bulk. Energies are from PBE-GGA.

calculated volume = 282.0 Å³/f.u.
energy of formation from the pure elements = -0.093 eV per atom

Structure (POSCAR):
```
Cs2Cd2Pb3
1.0
7.130 -2.426 0.000
7.130 2.426 0.000
-5.548 0.000 8.151
Cs Cd Pb
2 2 3
Direct
0.123 0.123 0.262
0.877 0.877 0.738
0.144 0.144 0.699
0.856 0.856 0.301
0.345 0.345 0.057
0.500 0.500 0.500
0.655 0.655 0.943
```

Here is an optimized crystal structure of TmIF from Alexandria via LeMat-Bulk. Energies are from PBE-GGA.

calculated volume = 70.6 Å³/f.u.
ΔE_f (raw) = -2.0300 eV per atom

Structure (POSCAR):
```
TmIF
1.0
3.916 0.000 0.000
-1.958 3.391 0.000
0.000 0.000 5.317
Tm I F
1 1 1
Direct
0.000 0.000 0.000
0.667 0.333 0.422
0.333 0.667 0.931
```

Here is an optimized crystal structure of Sm2InSi from Alexandria via LeMat-Bulk. Energies are from PBE-GGA.

calculated volume = 118.3 Å³/f.u.
ΔE_f (raw) = -0.4079 eV per atom

Structure (POSCAR):
```
Sm2InSi
1.0
2.102 1.213 7.731
-2.102 1.213 7.731
0.000 -2.427 7.731
Sm In Si
2 1 1
Direct
0.235 0.235 0.235
0.765 0.765 0.765
0.000 0.000 0.000
0.500 0.500 0.500
```

Here is an optimized crystal structure of Sc6Ga2H from Alexandria via LeMat-Bulk. Energies are from PBE-GGA.

calculated volume = 181.5 Å³/f.u.
DFT total energy = -101.0 eV for the cell shown

Structure (POSCAR):
```
Sc6Ga2H
1.0
5.779 0.000 0.000
0.000 7.344 0.000
-5.761 0.000 8.554
Sc Ga H
12 4 2
Direct
0.098 0.180 0.445
0.098 0.320 0.945
0.291 0.674 0.446
0.291 0.826 0.946
0.367 0.031 0.255
0.367 0.469 0.755
0.633 0.531 0.245
0.633 0.969 0.745
0.709 0.174 0.054
0.709 0.326 0.554
0.902 0.680 0.055
0.902 0.820 0.555
0.187 0.119 0.748
0.187 0.381 0.248
0.813 0.619 0.752
0.813 0.881 0.252
0.000 0.000 0.000
0.000 0.500 0.500
```

Here is an optimized crystal structure of MnPRh2 from Alexandria via LeMat-Bulk. Energies are from PBE-GGA.

calculated volume = 56.7 Å³/f.u.
energy of formation from the pure elements = -0.268 eV per atom

Structure (POSCAR):
```
MnPRh2
1.0
2.932 0.000 0.000
0.000 3.624 0.000
-1.416 0.000 5.336
Mn P Rh
1 1 2
Direct
0.000 0.000 0.000
0.000 0.000 0.500
0.353 0.500 0.733
0.647 0.500 0.267
```

Here is an optimized crystal structure of TiCoRhAu from Alexandria via LeMat-Bulk. Energies are from PBE-GGA.

calculated volume = 58.7 Å³/f.u.
energy of formation from the pure elements = -0.223 eV per atom

Structure (POSCAR):
```
TiCoRhAu
1.0
0.000 3.085 3.085
3.085 0.000 3.085
3.085 3.085 0.000
Ti Co Rh Au
1 1 1 1
Direct
0.000 0.000 0.000
0.750 0.750 0.750
0.250 0.250 0.250
0.500 0.500 0.500
```

Here is an optimized crystal structure of CoMo2RuRh from Alexandria via LeMat-Bulk. Energies are from PBE-GGA.

calculated volume = 100.0 Å³/f.u.
energy of formation from the pure elements = 1.800 eV per atom

Structure (POSCAR):
```
CoMo2RuRh
1.0
4.615 0.000 0.000
0.000 4.615 0.000
0.000 0.000 4.696
Co Mo Ru Rh
1 2 1 1
Direct
0.000 0.000 0.000
0.000 0.500 0.500
0.500 0.000 0.500
0.500 0.500 0.500
0.500 0.500 0.000
```

Here is an optimized crystal structure of NaSnCl3 from Alexandria via LeMat-Bulk. Energies are from PBE-GGA.

calculated volume = 150.0 Å³/f.u.
ΔE_f (raw) = -1.3236 eV per atom

Structure (POSCAR):
```
NaSnCl3
1.0
3.722 2.149 6.249
-3.722 2.149 6.249
0.000 -4.298 6.249
Na Sn Cl
2 2 6
Direct
0.143 0.143 0.143
0.857 0.857 0.857
0.344 0.344 0.344
0.656 0.656 0.656
0.019 0.457 0.766
0.234 0.981 0.543
0.457 0.766 0.019
0.543 0.234 0.981
0.766 0.019 0.457
0.981 0.543 0.234
```

Here is an optimized crystal structure of Sm3U2Ru4 from Alexandria via LeMat-Bulk. Energies are from PBE-GGA.

calculated volume = 205.5 Å³/f.u.
energy of formation from the pure elements = -0.307 eV per atom

Structure (POSCAR):
```
Sm3U2Ru4
1.0
6.522 -1.883 0.000
6.522 1.883 0.000
-2.964 0.000 8.368
Sm U Ru
3 2 4
Direct
0.000 0.000 0.000
0.401 0.401 0.291
0.599 0.599 0.709
0.316 0.316 0.679
0.684 0.684 0.321
0.099 0.099 0.433
0.292 0.292 0.919
0.708 0.708 0.081
0.901 0.901 0.567
```

Here is an optimized crystal structure of SrPbAu2 from Alexandria via LeMat-Bulk. Energies are from PBE-GGA.

calculated volume = 114.6 Å³/f.u.
energy of formation from the pure elements = 0.089 eV per atom

Structure (POSCAR):
```
SrPbAu2
1.0
-1.785 2.680 5.988
1.785 -2.680 5.988
1.785 2.680 -5.988
Sr Pb Au
1 1 2
Direct
0.000 0.000 0.000
0.500 0.500 0.000
0.264 0.264 0.000
0.736 0.736 0.000
```